(1)
{
  "formula": "BaInCu2",
  "functional": "GGA-PBE",
  "state": "optimized geometry",
  "lattice": [[0.000, 3.628, 3.628], [3.628, 0.000, 3.628], [3.628, 3.628, 0.000]],
  "species": ["Ba", "In", "Cu", "Cu"],
  "fractional_positions": [[0.000, 0.000, 0.000], [0.500, 0.500, 0.500], [0.250, 0.250, 0.250], [0.750, 0.750, 0.750]],
  "volume_a3_per_cell": 96,
  "total_energy_ev_per_atom": -3.12,
  "crystal_system": "cubic",
  "space_group": "Fm-3m (225)"
}


(2)
{
  "formula": "Ba2In12Cu",
  "functional": "GGA-PBE",
  "state": "optimized geometry",
  "lattice": [[6.964, 0.000, 0.000], [0.000, 6.964, 0.000], [0.000, 0.000, 17.913]],
  "species": ["Ba", "Ba", "Ba", "Ba", "In", "In", "In", "In", "In", "In", "In", "In", "In", "In", "In", "In", "In", "In", "In", "In", "In", "In", "In", "In", "In", "In", "In", "In", "Cu", "Cu"],
  "fractional_positions": [[0.250, 0.750, 0.245], [0.250, 0.750, 0.755], [0.750, 0.250, 0.245], [0.750, 0.250, 0.755], [0.000, 0.000, 0.082], [0.000, 0.000, 0.918], [0.000, 0.500, 0.082], [0.000, 0.500, 0.918], [0.076, 0.576, 0.429], [0.076, 0.924, 0.571], [0.250, 0.250, 0.178], [0.250, 0.250, 0.340], [0.250, 0.250, 0.660], [0.250, 0.250, 0.822], [0.424, 0.576, 0.571], [0.424, 0.924, 0.429], [0.500, 0.000, 0.082], [0.500, 0.000, 0.918], [0.500, 0.500, 0.082], [0.500, 0.500, 0.918], [0.576, 0.076, 0.571], [0.576, 0.424, 0.429], [0.750, 0.750, 0.178], [0.750, 0.750, 0.340], [0.750, 0.750, 0.660], [0.750, 0.750, 0.822], [0.924, 0.076, 0.429], [0.924, 0.424, 0.571], [0.250, 0.750, 0.000], [0.750, 0.250, 0.000]],
  "volume_a3_per_cell": 869,
  "total_energy_ev_per_atom": -2.93,
  "crystal_system": "tetragonal",
  "space_group": "P4/nbm (125)"
}


(3)
{
  "formula": "BaInCu2",
  "functional": "GGA-PBE",
  "state": "optimized geometry",
  "lattice": [[4.044, 0.000, 0.000], [0.000, 4.311, 0.000], [-1.993, 0.000, 5.870]],
  "species": ["Ba", "In", "Cu", "Cu"],
  "fractional_positions": [[0.000, 0.000, 0.000], [0.283, 0.500, 0.570], [0.634, 0.500, 0.268], [0.725, 0.000, 0.459]],
  "volume_a3_per_cell": 102,
  "total_energy_ev_per_atom": -3.24,
  "crystal_system": "monoclinic",
  "space_group": "Pm (6)"
}